Entry from Alexandria via LeMat-Bulk: AcTiCuO5 after structural relaxation (PBE-GGA).

Geometry as extended XYZ:
```
16
Lattice="3.143 -4.782 0.000 3.143 4.782 0.000 -2.197 0.000 6.976" Properties=species:S:1:pos:R:3 pbc="T T T"
Ac 1.495 3.152 5.232
Ac 2.594 -3.152 1.744
Ti 3.143 0.000 0.000
Ti 2.045 0.000 3.488
Cu 2.594 3.129 1.744
Cu 1.495 -3.129 5.232
O -0.961 0.437 6.547
O 0.137 -0.437 3.059
O 1.777 1.894 2.912
O 3.410 1.894 0.576
O 1.495 0.593 5.232
O 2.594 -0.593 1.744
O 0.679 -1.894 6.400
O 2.312 -1.894 4.064
O 3.952 0.437 3.917
O 5.051 -0.437 0.429
```

* spin magnetization: 0.0 μB/f.u.
* formation energy without anion corrections: -2.279 eV per atom
* crystal system: monoclinic
* total DFT energy (no corrections): -118.25 eV per cell
* SG: C2/c (15)